# Y2CdHg, optimized geometry, DFT PBEsol
# ΔH_f (0 K)	-0.49	eV per atom
data_Y2CdHg
_cell_length_a 3.682
_cell_length_b 5.181
_cell_length_c 5.181
_cell_angle_alpha 90.00
_cell_angle_beta 90.00
_cell_angle_gamma 90.00
_space_group_name_H-M_alt 'P m m 2'
_space_group_IT_number 25
loop_
_space_group_symop_operation_xyz
'x,y,z'
'-x,-y,z'
'-x,y,z'
'x,-y,z'
loop_
_atom_site_label
_atom_site_fract_x
_atom_site_fract_y
_atom_site_fract_z
_atom_site_occupancy
Y1 0.000 0.000 0.000 1
Y2 0.000 0.500 0.500 1
Cd1 0.500 0.000 0.500 1
Hg1 0.500 0.500 0.001 1

# Ce5Sn3, optimized geometry, DFT PBEsol
# ΔH_f (0 K)	-0.43	eV per atom
data_Ce5Sn3
_cell_length_a 9.2566
_cell_length_b 9.2566
_cell_length_c 6.0987
_cell_angle_alpha 90.00
_cell_angle_beta 90.00
_cell_angle_gamma 120.00
_space_group_name_H-M_alt 'P 63/m c m'
_space_group_IT_number 193
_space_group_name_Hall '-P 6c 2'
loop_
_atom_site_label
_atom_site_fract_x
_atom_site_fract_y
_atom_site_fract_z
_atom_site_occupancy
Ce1 0.0000 0.2480 0.2500 1
Ce2 0.3333 0.6667 0.0000 1
Sn1 0.0000 0.3893 0.7500 1

# La2WBr, optimized geometry, DFT PBEsol
# uncorrected formation energy	0.2933	eV per atom
data_La2WBr
_cell_length_a 4.189
_cell_length_b 4.189
_cell_length_c 10.980
_cell_angle_alpha 90.00
_cell_angle_beta 90.00
_cell_angle_gamma 90.00
_space_group_name_H-M_alt 'I -4 m 2'
_space_group_IT_number 119
_space_group_name_Hall 'I -4 -2'
loop_
_atom_site_label
_atom_site_fract_x
_atom_site_fract_y
_atom_site_fract_z
_atom_site_occupancy
La1 0.000 0.000 0.000 1
La2 0.000 0.500 0.250 1
W1 0.000 0.000 0.500 1
Br1 0.000 0.500 0.750 1

What did we get for final energy? Answer: -4.3455 -6.1462 -6.2993 eV/atom, in the order shown.